Entry 1:
# Pr3Sm6Dy2Y, relaxed, DFT PBE
# E_form in meV per atom: 17
data_Pr3Sm6Dy2Y
_space_group_name_H-M_alt 'C 1 2/m 1'
_space_group_IT_number 12
_cell_length_a 6.2971
_cell_length_b 10.9078
_cell_length_c 12.0397
_cell_angle_alpha 90.00
_cell_angle_beta 100.05
_cell_angle_gamma 90.00
loop_
_space_group_symop_operation_xyz
'x,y,z'
'-x,-y,-z'
'-x,y,-z'
'x,-y,z'
'x+1/2,y+1/2,z'
'-x+1/2,-y+1/2,-z'
'-x+1/2,y+1/2,-z'
'x+1/2,-y+1/2,z'
loop_
_atom_site_label
_atom_site_fract_x
_atom_site_fract_y
_atom_site_fract_z
_atom_site_occupancy
Pr1 0.0000 0.0000 0.0000 1
Pr2 0.0000 0.3333 0.0000 1
Sm1 0.2481 0.0000 0.7455 1
Sm2 0.2492 0.3329 0.7454 1
Dy1 0.0000 0.1666 0.5000 1
Y1 0.0000 0.5000 0.5000 1



Entry 2:
# PrSm2Dy2Y2, relaxed, DFT PBE
# E_form in meV per atom: 17
data_PrSm2Dy2Y2
_space_group_name_H-M_alt 'C 1 2/m 1'
_space_group_IT_number 12
_cell_length_a 11.3610
_cell_length_b 5.0930
_cell_length_c 8.0577
_cell_angle_alpha 90.00
_cell_angle_beta 97.99
_cell_angle_gamma 90.00
loop_
_space_group_symop_operation_xyz
'x,y,z'
'-x,-y,-z'
'-x,y,-z'
'x,-y,z'
'x+1/2,y+1/2,z'
'-x+1/2,-y+1/2,-z'
'-x+1/2,y+1/2,-z'
'x+1/2,-y+1/2,z'
loop_
_atom_site_label
_atom_site_fract_x
_atom_site_fract_y
_atom_site_fract_z
_atom_site_occupancy
Pr1 0.0000 0.0000 0.0000 1
Sm1 0.0718 0.5000 0.7122 1
Dy1 0.1426 0.0000 0.4305 1
Y1 0.2139 0.5000 0.1455 1



Entry 3:
# Pr2SmDy6Y, relaxed, DFT PBE
# E_form in meV per atom: 114
data_Pr2SmDy6Y
_space_group_name_H-M_alt 'C 1 2/c 1'
_space_group_IT_number 15
_cell_length_a 9.0528
_cell_length_b 15.1483
_cell_length_c 9.7810
_cell_angle_alpha 90.00
_cell_angle_beta 99.11
_cell_angle_gamma 90.00
loop_
_space_group_symop_operation_xyz
'x,y,z'
'-x,-y,-z'
'-x,y,-z+1/2'
'x,-y,z+1/2'
'x+1/2,y+1/2,z'
'-x+1/2,-y+1/2,-z'
'-x+1/2,y+1/2,-z+1/2'
'x+1/2,-y+1/2,z+1/2'
loop_
_atom_site_label
_atom_site_fract_x
_atom_site_fract_y
_atom_site_fract_z
_atom_site_occupancy
Pr1 0.2447 0.0513 0.0418 1
Sm1 0.0000 0.0174 0.7500 1
Dy1 0.0677 0.1907 0.4431 1
Dy2 0.1002 0.3940 0.6198 1
Dy3 0.2014 0.2239 0.8136 1
Y1 0.0000 0.4066 0.2500 1



Entry 4:
# PrSm5Dy2Y, relaxed, DFT PBE
# E_form in meV per atom: 152
data_PrSm5Dy2Y
_space_group_name_H-M_alt 'C m c 21'
_space_group_IT_number 36
_cell_length_a 5.6675
_cell_length_b 20.3426
_cell_length_c 10.7104
_cell_angle_alpha 90.00
_cell_angle_beta 90.00
_cell_angle_gamma 90.00
loop_
_space_group_symop_operation_xyz
'x,y,z'
'-x,-y,z+1/2'
'-x,y,z'
'x,-y,z+1/2'
'x+1/2,y+1/2,z'
'-x+1/2,-y+1/2,z+1/2'
'-x+1/2,y+1/2,z'
'x+1/2,-y+1/2,z+1/2'
loop_
_atom_site_label
_atom_site_fract_x
_atom_site_fract_y
_atom_site_fract_z
_atom_site_occupancy
Pr1 0.0000 0.2023 0.0000 1
Sm1 0.0000 0.0163 0.0133 1
Sm2 0.0000 0.2805 0.2973 1
Sm3 0.0000 0.2984 0.6953 1
Sm4 0.0000 0.3932 0.0154 1
Sm5 0.0000 0.4786 0.7304 1
Dy1 0.0000 0.1105 0.7254 1
Dy2 0.0000 0.1156 0.3088 1
Y1 0.0000 0.4113 0.4449 1



Entry 5:
# Pr6Sm2DyY, relaxed, DFT PBE
# E_form in meV per atom: 112
data_Pr6Sm2DyY
_space_group_name_H-M_alt 'C 1 2/c 1'
_space_group_IT_number 15
_cell_length_a 9.2982
_cell_length_b 15.5647
_cell_length_c 9.8302
_cell_angle_alpha 90.00
_cell_angle_beta 98.01
_cell_angle_gamma 90.00
loop_
_space_group_symop_operation_xyz
'x,y,z'
'-x,-y,-z'
'-x,y,-z+1/2'
'x,-y,z+1/2'
'x+1/2,y+1/2,z'
'-x+1/2,-y+1/2,-z'
'-x+1/2,y+1/2,-z+1/2'
'x+1/2,-y+1/2,z+1/2'
loop_
_atom_site_label
_atom_site_fract_x
_atom_site_fract_y
_atom_site_fract_z
_atom_site_occupancy
Pr1 0.0605 0.1806 0.4468 1
Pr2 0.1029 0.3945 0.6180 1
Pr3 0.2096 0.2221 0.8103 1
Sm1 0.2475 0.0506 0.0439 1
Dy1 0.0000 0.4100 0.2500 1
Y1 0.0000 0.0239 0.7500 1



Entry 6:
# PrSmDyY3, relaxed, DFT PBE
# E_form in meV per atom: 21
data_PrSmDyY3
_space_group_name_H-M_alt 'C m c m'
_space_group_IT_number 63
_space_group_name_Hall '-C 2c 2'
_cell_length_a 5.0918
_cell_length_b 15.2799
_cell_length_c 10.1871
_cell_angle_alpha 90.00
_cell_angle_beta 90.00
_cell_angle_gamma 90.00
loop_
_atom_site_label
_atom_site_fract_x
_atom_site_fract_y
_atom_site_fract_z
_atom_site_occupancy
Pr1 0.0000 0.0000 0.0000 1
Sm1 0.0000 0.4993 0.2500 1
Dy1 0.0000 0.1672 0.7500 1
Y1 0.0000 0.1677 0.2500 1
Y2 0.0000 0.3322 0.0002 1



Entry 7:
# Pr2Sm6DyY, relaxed, DFT PBE
# E_form in meV per atom: 113
data_Pr2Sm6DyY
_space_group_name_H-M_alt 'C 1 2/c 1'
_space_group_IT_number 15
_cell_length_a 9.1457
_cell_length_b 15.3534
_cell_length_c 9.8803
_cell_angle_alpha 90.00
_cell_angle_beta 99.03
_cell_angle_gamma 90.00
loop_
_space_group_symop_operation_xyz
'x,y,z'
'-x,-y,-z'
'-x,y,-z+1/2'
'x,-y,z+1/2'
'x+1/2,y+1/2,z'
'-x+1/2,-y+1/2,-z'
'-x+1/2,y+1/2,-z+1/2'
'x+1/2,-y+1/2,z+1/2'
loop_
_atom_site_label
_atom_site_fract_x
_atom_site_fract_y
_atom_site_fract_z
_atom_site_occupancy
Pr1 0.2451 0.0511 0.0411 1
Sm1 0.0637 0.1872 0.4440 1
Sm2 0.1039 0.3951 0.6206 1
Sm3 0.2013 0.2221 0.8125 1
Dy1 0.0000 0.0183 0.7500 1
Y1 0.0000 0.4069 0.2500 1



Entry 8:
# Pr5Sm2DyY, relaxed, DFT PBE
# E_form in meV per atom: 282
data_Pr5Sm2DyY
_space_group_name_H-M_alt 'I 4/m c m'
_space_group_IT_number 140
_space_group_name_Hall '-I 4 2c'
_cell_length_a 8.7127
_cell_length_b 8.7127
_cell_length_c 16.7558
_cell_angle_alpha 90.00
_cell_angle_beta 90.00
_cell_angle_gamma 90.00
loop_
_atom_site_label
_atom_site_fract_x
_atom_site_fract_y
_atom_site_fract_z
_atom_site_occupancy
Pr1 0.0000 0.0000 0.0000 1
Pr2 0.2155 0.2845 0.1424 1
Sm1 0.1209 0.3791 0.5000 1
Dy1 0.0000 0.0000 0.2500 1
Y1 0.0000 0.5000 0.2500 1



Entry 9:
# PrSm3DyY, relaxed, DFT PBE
# E_form in meV per atom: 190
data_PrSm3DyY
_space_group_name_H-M_alt 'C 1 2/m 1'
_space_group_IT_number 12
_cell_length_a 22.2387
_cell_length_b 5.5756
_cell_length_c 6.8277
_cell_angle_alpha 90.00
_cell_angle_beta 97.86
_cell_angle_gamma 90.00
loop_
_space_group_symop_operation_xyz
'x,y,z'
'-x,-y,-z'
'-x,y,-z'
'x,-y,z'
'x+1/2,y+1/2,z'
'-x+1/2,-y+1/2,-z'
'-x+1/2,y+1/2,-z'
'x+1/2,-y+1/2,z'
loop_
_atom_site_label
_atom_site_fract_x
_atom_site_fract_y
_atom_site_fract_z
_atom_site_occupancy
Pr1 0.1314 0.0000 0.4771 1
Sm1 0.0242 0.0000 0.7705 1
Sm2 0.1663 0.5000 0.7778 1
Sm3 0.2255 0.5000 0.3127 1
Dy1 0.0708 0.5000 0.1730 1
Y1 0.1657 0.0000 0.0322 1